Mg2TlPtBr | PBE-GGA | optimized geometry

Output
* space-group type: No. 123
* raw formation energy: 0.363 eV per atom

Geometry as POSCAR:
```
Mg2TlPtBr
1.0
5.106 0.000 0.000
0.000 5.106 0.000
0.000 0.000 5.042
Mg Tl Pt Br
2 1 1 1
Cartesian
0.000 2.553 0.000
2.553 0.000 0.000
0.000 0.000 2.521
2.553 2.553 2.521
2.553 2.553 0.000
```